Material: Pu2SbS
Method: DFT, PBE
State: optimized geometry

Cell lengths 7.776, 7.776, 7.776 Å; angles 30.45, 30.45, 30.45 degrees
Fractional coordinates of all 4 atoms:
Pu 0.000 0.000 0.000
Pu 0.153 0.153 0.153
Sb 0.575 0.575 0.575
S 0.747 0.747 0.747

Space-group type = R3m
Calculated density = 9.958 Mg/m³
Total magnetic moment = 10.99 μB per cell
Excess energy over the best structure of this formula in the dataset = 0.143 eV/atom
Energy relative to the elements, uncorrected = -1.012 eV/atom

Material: Sr2SnCl6
Method: DFT, PBE
State: optimized geometry

Cell lengths 7.513, 6.722, 14.500 Å; angles 90.00, 121.18, 90.00 degrees
Fractional coordinates of all 18 atoms:
Sr 0.182 0.001 0.182
Sr 0.182 0.499 0.682
Sr 0.818 0.501 0.318
Sr 0.818 0.999 0.818
Sn 0.500 0.000 0.000
Sn 0.500 0.500 0.500
Cl 0.164 0.733 0.335
Cl 0.164 0.767 0.835
Cl 0.169 0.208 0.000
Cl 0.169 0.292 0.500
Cl 0.495 0.731 0.666
Cl 0.495 0.769 0.166
Cl 0.505 0.231 0.834
Cl 0.505 0.269 0.334
Cl 0.831 0.708 0.500
Cl 0.831 0.792 0.000
Cl 0.836 0.233 0.165
Cl 0.836 0.267 0.665

Space-group type = P2_1/c
Calculated density = 2.686 Mg/m³
Total magnetic moment = 0.00 μB per cell
Excess energy over the best structure of this formula in the dataset = 0.003 eV/atom
Energy relative to the elements, uncorrected = -1.970 eV/atom

Material: DyHo2Th
Method: DFT, PBE
State: optimized geometry

Cell lengths 3.538, 6.744, 11.029 Å; angles 90.57, 90.01, 105.09 degrees
Fractional coordinates of all 8 atoms:
Dy 0.131 0.261 0.485
Dy 0.869 0.739 0.515
Ho 0.254 0.508 0.754
Ho 0.479 0.960 0.253
Ho 0.521 0.040 0.747
Ho 0.746 0.492 0.246
Th 0.129 0.256 0.016
Th 0.871 0.744 0.984

Space-group type = P-1
Calculated density = 9.469 Mg/m³
Total magnetic moment = 0.00 μB per cell
Energy of formation = 0.035 eV per atom
Excess energy over the best structure of this formula in the dataset = 0.029 eV/atom

Material: Rb2CdCl
Method: DFT, PBE
State: optimized geometry

Cell lengths 10.178, 10.178, 10.178 Å; angles 26.05, 26.05, 26.05 degrees
Fractional coordinates of all 4 atoms:
Rb 0.235 0.235 0.235
Rb 0.765 0.765 0.765
Cd 0.000 0.000 0.000
Cl 0.500 0.500 0.500

Space-group type = R-3m
Calculated density = 2.956 Mg/m³
Total magnetic moment = 0.03 μB per cell
Excess energy over the best structure of this formula in the dataset = 0.011 eV/atom
Energy relative to the elements, uncorrected = -0.869 eV/atom

Material: Sr3TaCu2O8
Method: DFT, PBE
State: optimized geometry

Cell lengths 5.662, 5.662, 7.312 Å; angles 90.00, 90.00, 120.00 degrees
Fractional coordinates of all 14 atoms:
Sr 0.000 0.000 0.000
Sr 0.333 0.667 0.632
Sr 0.667 0.333 0.368
Ta 0.000 0.000 0.500
Cu 0.333 0.667 0.194
Cu 0.667 0.333 0.806
O 0.163 0.327 0.339
O 0.163 0.837 0.339
O 0.327 0.163 0.661
O 0.333 0.667 0.951
O 0.667 0.333 0.049
O 0.673 0.837 0.339
O 0.837 0.163 0.661
O 0.837 0.673 0.661

Space-group type = P-3m1
Calculated density = 5.717 Mg/m³
Total magnetic moment = 3.03 μB per cell
Energy relative to the elements, uncorrected = -2.017 eV/atom

Material: Sm4Dy2Tm3
Method: DFT, PBE
State: optimized geometry

Cell lengths 10.194, 10.194, 5.940 Å; angles 96.13, 96.13, 69.77 degrees
Fractional coordinates of all 18 atoms:
Sm 0.046 0.827 0.956
Sm 0.163 0.381 0.119
Sm 0.173 0.954 0.544
Sm 0.381 0.163 0.619
Sm 0.619 0.837 0.381
Sm 0.827 0.046 0.456
Sm 0.837 0.619 0.881
Sm 0.954 0.173 0.044
Dy 0.291 0.504 0.707
Dy 0.496 0.709 0.793
Dy 0.504 0.291 0.207
Dy 0.709 0.496 0.293
Tm 0.016 0.320 0.581
Tm 0.320 0.016 0.081
Tm 0.349 0.651 0.250
Tm 0.651 0.349 0.750
Tm 0.680 0.984 0.919
Tm 0.984 0.680 0.419

Space-group type = C2/c
Calculated density = 8.288 Mg/m³
Total magnetic moment = 0.00 μB per cell
Energy of formation = 0.091 eV per atom
Excess energy over the best structure of this formula in the dataset = 0.044 eV/atom

Material: Dy5Zn4Ag
Method: DFT, PBE
State: optimized geometry

Cell lengths 3.584, 3.584, 17.834 Å; angles 90.00, 90.00, 90.00 degrees
Fractional coordinates of all 10 atoms:
Dy 0.000 0.000 0.000
Dy 0.000 0.000 0.198
Dy 0.000 0.000 0.395
Dy 0.000 0.000 0.605
Dy 0.000 0.000 0.802
Zn 0.500 0.500 0.099
Zn 0.500 0.500 0.296
Zn 0.500 0.500 0.704
Zn 0.500 0.500 0.901
Ag 0.500 0.500 0.500

Space-group type = P4/mmm
Calculated density = 8.568 Mg/m³
Total magnetic moment = 0.00 μB per cell
Energy of formation = -0.340 eV per atom

Material: Tl2Ga2Sn3
Method: DFT, PBE
State: optimized geometry

Cell lengths 6.272, 6.272, 8.139 Å; angles 110.63, 110.63, 39.69 degrees
Fractional coordinates of all 7 atoms:
Tl 0.152 0.152 0.315
Tl 0.848 0.848 0.685
Ga 0.152 0.152 0.739
Ga 0.848 0.848 0.261
Sn 0.384 0.384 0.043
Sn 0.500 0.500 0.500
Sn 0.616 0.616 0.957

Space-group type = C2/m
Calculated density = 7.922 Mg/m³
Total magnetic moment = 0.00 μB per cell
Energy of formation = 0.050 eV per atom

Material: KRb2PdO
Method: DFT, PBE
State: optimized geometry

Cell lengths 6.588, 6.588, 4.436 Å; angles 90.00, 90.00, 90.00 degrees
Fractional coordinates of all 5 atoms:
K 0.000 0.000 0.000
Rb 0.000 0.500 0.000
Rb 0.500 0.000 0.000
Pd 0.500 0.500 0.500
O 0.000 0.000 0.500

Space-group type = P4/mmm
Calculated density = 2.868 Mg/m³
Total magnetic moment = 0.43 μB per cell
Energy relative to the elements, uncorrected = 0.079 eV/atom

Material: KMoPCl2
Method: DFT, PBE
State: optimized geometry

Cell lengths 5.176, 5.176, 4.683 Å; angles 90.00, 90.00, 90.00 degrees
Fractional coordinates of all 5 atoms:
K 0.000 0.000 0.000
Mo 0.500 0.500 0.500
P 0.500 0.500 0.000
Cl 0.000 0.500 0.500
Cl 0.500 0.000 0.500

Space-group type = P4/mmm
Calculated density = 3.136 Mg/m³
Total magnetic moment = 1.66 μB per cell
Excess energy over the best structure of this formula in the dataset = 0.000 eV/atom
Energy relative to the elements, uncorrected = -0.573 eV/atom

Material: Sr2PPt2
Method: DFT, PBE
State: optimized geometry

Cell lengths 7.122, 7.122, 4.535 Å; angles 90.00, 90.00, 90.00 degrees
Fractional coordinates of all 10 atoms:
Sr 0.175 0.325 0.000
Sr 0.325 0.825 0.000
Sr 0.675 0.175 0.000
Sr 0.825 0.675 0.000
P 0.000 0.000 0.500
P 0.500 0.500 0.500
Pt 0.139 0.639 0.500
Pt 0.361 0.139 0.500
Pt 0.639 0.861 0.500
Pt 0.861 0.361 0.500

Space-group type = P4/mbm
Calculated density = 8.610 Mg/m³
Total magnetic moment = 0.00 μB per cell
Energy of formation = -0.588 eV per atom
Excess energy over the best structure of this formula in the dataset = 0.277 eV/atom

Material: MgFeCuN2
Method: DFT, PBE
State: optimized geometry

Cell lengths 3.868, 3.868, 4.718 Å; angles 90.00, 90.00, 90.00 degrees
Fractional coordinates of all 5 atoms:
Mg 0.000 0.000 0.000
Fe 0.000 0.000 0.500
Cu 0.500 0.500 0.500
N 0.000 0.500 0.000
N 0.500 0.000 0.000

Space-group type = P4/mmm
Calculated density = 4.040 Mg/m³
Total magnetic moment = 3.53 μB per cell
Energy relative to the elements, uncorrected = 1.809 eV/atom

Material: LiYBi2
Method: DFT, PBE
State: optimized geometry

Cell lengths 9.184, 9.184, 9.184 Å; angles 24.14, 24.14, 24.14 degrees
Fractional coordinates of all 4 atoms:
Li 0.000 0.000 0.000
Y 0.500 0.500 0.500
Bi 0.255 0.255 0.255
Bi 0.745 0.745 0.745

Space-group type = R-3m
Calculated density = 7.493 Mg/m³
Total magnetic moment = 0.00 μB per cell
Energy of formation = -0.407 eV per atom
Excess energy over the best structure of this formula in the dataset = 0.211 eV/atom

Material: CuPbN2F
Method: DFT, PBE
State: optimized geometry

Cell lengths 4.343, 4.343, 4.392 Å; angles 90.00, 90.00, 90.00 degrees
Fractional coordinates of all 5 atoms:
Cu 0.000 0.000 0.000
Pb 0.500 0.500 0.500
N 0.000 0.500 0.500
N 0.500 0.000 0.500
F 0.500 0.500 0.000

Space-group type = P4/mmm
Calculated density = 6.370 Mg/m³
Total magnetic moment = 2.09 μB per cell
Excess energy over the best structure of this formula in the dataset = 0.715 eV/atom
Energy relative to the elements, uncorrected = 1.200 eV/atom

Material: TmSc2Ti
Method: DFT, PBE
State: optimized geometry

Cell lengths 5.146, 5.146, 5.146 Å; angles 60.00, 60.00, 60.00 degrees
Fractional coordinates of all 4 atoms:
Tm 0.000 0.000 0.000
Sc 0.250 0.250 0.250
Sc 0.750 0.750 0.750
Ti 0.500 0.500 0.500

Space-group type = Fm-3m
Calculated density = 5.286 Mg/m³
Total magnetic moment = 3.53 μB per cell
Energy of formation = 0.211 eV per atom
Excess energy over the best structure of this formula in the dataset = 0.085 eV/atom

Material: Al2TlTe
Method: DFT, PBE
State: optimized geometry

Cell lengths 5.156, 5.156, 5.156 Å; angles 60.00, 60.00, 60.00 degrees
Fractional coordinates of all 4 atoms:
Al 0.250 0.250 0.250
Al 0.750 0.750 0.750
Tl 0.000 0.000 0.000
Te 0.500 0.500 0.500

Space-group type = Fm-3m
Calculated density = 6.612 Mg/m³
Total magnetic moment = 0.00 μB per cell
Excess energy over the best structure of this formula in the dataset = 0.230 eV/atom
Energy relative to the elements, uncorrected = 0.282 eV/atom

Material: AcTm2Cl
Method: DFT, PBE
State: optimized geometry

Cell lengths 10.560, 10.560, 10.560 Å; angles 20.12, 20.12, 20.12 degrees
Fractional coordinates of all 4 atoms:
Ac 0.000 0.000 0.000
Tm 0.112 0.112 0.112
Tm 0.888 0.888 0.888
Cl 0.500 0.500 0.500

Space-group type = R-3m
Calculated density = 8.179 Mg/m³
Total magnetic moment = 0.00 μB per cell
Energy relative to the elements, uncorrected = -0.284 eV/atom

Material: Zr2ScRh
Method: DFT, PBE
State: optimized geometry

Cell lengths 5.732, 5.732, 5.732 Å; angles 145.61, 129.66, 62.39 degrees
Fractional coordinates of all 4 atoms:
Zr 0.000 0.000 0.000
Zr 0.724 0.224 0.500
Sc 0.282 0.782 0.500
Rh 0.502 0.502 0.000

Space-group type = Imm2
Calculated density = 6.770 Mg/m³
Total magnetic moment = 0.00 μB per cell
Energy of formation = -0.410 eV per atom

Material: PmEr4Sc8
Method: DFT, PBE
State: optimized geometry

Cell lengths 7.373, 7.373, 7.373 Å; angles 90.09, 90.09, 90.09 degrees
Fractional coordinates of all 13 atoms:
Pm 0.000 0.000 0.000
Er 0.000 0.000 0.500
Er 0.000 0.500 0.000
Er 0.500 0.000 0.000
Er 0.500 0.500 0.500
Sc 0.260 0.738 0.738
Sc 0.261 0.261 0.261
Sc 0.262 0.262 0.740
Sc 0.262 0.740 0.262
Sc 0.738 0.260 0.738
Sc 0.738 0.738 0.260
Sc 0.739 0.739 0.739
Sc 0.740 0.262 0.262

Space-group type = R-3m
Calculated density = 4.863 Mg/m³
Total magnetic moment = 2.41 μB per cell
Energy of formation = 0.602 eV per atom

Material: Nb2CrCu2
Method: DFT, PBE
State: optimized geometry

Cell lengths 8.073, 8.073, 8.073 Å; angles 157.35, 157.35, 32.25 degrees
Fractional coordinates of all 5 atoms:
Nb 0.096 0.096 0.000
Nb 0.904 0.904 0.000
Cr 0.500 0.500 0.000
Cu 0.250 0.750 0.500
Cu 0.750 0.250 0.500

Space-group type = I4/mmm
Calculated density = 7.770 Mg/m³
Total magnetic moment = 0.00 μB per cell
Energy of formation = 0.449 eV per atom
Excess energy over the best structure of this formula in the dataset = 0.131 eV/atom